1.
Here is crystalline LiCu12Ni7 at its relaxed geometry from Alexandria via LeMat-Bulk. Energies are from PBE.

```
20
Lattice="6.590 -0.055 -0.083 -1.885 6.315 -0.083 -1.885 -2.508 5.796" Properties=species:S:1:pos:R:3 pbc="T T T"
Cu -0.459 3.265 2.082
Cu 1.128 2.409 0.206
Cu 0.765 -0.257 3.815
Cu 1.692 1.342 5.424
Cu 2.054 4.008 1.815
Cu 3.264 1.742 1.233
Cu 2.001 -0.485 1.697
Cu 3.841 2.873 3.327
Cu -1.022 0.878 2.303
Cu 3.279 0.486 3.548
Cu -0.445 2.009 4.398
Cu 0.819 4.236 3.933
Li 0.000 0.000 0.000
Ni 5.267 1.971 -0.025
Ni 2.390 5.934 0.466
Ni 5.036 -1.090 3.821
Ni -2.216 4.842 1.809
Ni 1.410 1.876 2.815
Ni 0.429 -2.183 5.165
Ni -2.447 1.780 5.656
```

Calculated values
Its density of states at the Fermi level is 16.53 states/eV per cell. The value obtained for the density is 8.2 g/cm³. For the spin magnetization, the calculation gives 0.000 μB per atom. Its formation energy is 116 meV/atom. As for the space group: R-3, No. 148.

2.
Here is crystalline LiCu7Ni3 at its relaxed geometry from Alexandria via LeMat-Bulk. Energies are from PBE.

```
11
Lattice="-2.325 -1.412 3.221 -1.145 -3.270 -5.016 5.565 -2.483 0.172" Properties=species:S:1:pos:R:3 pbc="T T T"
Cu 2.509 -2.104 0.890
Cu 0.395 -1.346 -0.306
Cu -0.414 -5.062 -2.513
Cu 3.248 -4.632 0.318
Cu 1.700 -5.819 -1.317
Cu 2.210 -2.876 -2.422
Cu -1.153 -2.533 -1.941
Li 1.047 -3.583 -0.811
Ni -1.162 -0.706 1.610
Ni 4.064 -2.659 -0.988
Ni 0.356 -3.094 -3.856
```

Calculated values
Its density of states at the Fermi level is 4.78 states/eV per cell. The value obtained for the density is 7.6 g/cm³. For the spin magnetization, the calculation gives 0.000 μB per atom. Its formation energy is 223 meV/atom. As for the space group: Immm, No. 71.

3.
Here is crystalline Li4Cu5Ni at its relaxed geometry from Alexandria via LeMat-Bulk. Energies are from PBE.

```
10
Lattice="4.583 0.000 0.000 2.292 5.340 0.000 2.292 0.000 5.340" Properties=species:S:1:pos:R:3 pbc="T T T"
Cu 4.425 1.703 1.866
Cu 6.716 1.866 3.637
Cu 6.716 3.475 1.703
Cu 4.425 3.637 3.475
Cu 3.208 0.000 0.000
Li 2.035 0.212 2.012
Li 6.619 5.128 3.328
Li 4.327 3.328 0.212
Li 4.327 2.012 5.128
Ni 0.789 0.000 0.000
```

Calculated values
Its density of states at the Fermi level is 4.28 states/eV per cell. The value obtained for the density is 5.1 g/cm³. For the spin magnetization, the calculation gives 0.000 μB per atom. Its formation energy is 174 meV/atom. As for the space group: I4, No. 79.

4.
Here is crystalline Li2Cu3Ni at its relaxed geometry from Alexandria via LeMat-Bulk. Energies are from PBE.

```
12
Lattice="7.357 0.000 0.000 0.000 5.507 -1.387 0.000 -3.561 4.424" Properties=species:S:1:pos:R:3 pbc="T T T"
Li 5.295 2.445 0.575
Li 5.295 -0.499 2.462
Li 1.617 -0.499 2.462
Li 1.617 2.445 0.575
Ni 1.616 0.000 0.000
Ni 5.295 0.000 0.000
Cu 3.454 4.033 -0.442
Cu 3.454 -2.087 3.479
Cu 7.132 -2.087 3.479
Cu 3.455 0.973 1.518
Cu 7.132 4.033 -0.442
Cu 7.134 0.973 1.518
```

Calculated values
Its density of states at the Fermi level is 4.31 states/eV per cell. The offset from the most stable computed form is 31 meV/atom. The value obtained for the density is 6.1 g/cm³. For the spin magnetization, the calculation gives 0.000 μB per atom. Its formation energy is -18 meV/atom. As for the space group: Cmmm, No. 65.

What did the third record say?
Here is crystalline Li4Cu5Ni at its relaxed geometry from Alexandria via LeMat-Bulk. Energies are from PBE.

```
10
Lattice="4.583 0.000 0.000 2.292 5.340 0.000 2.292 0.000 5.340" Properties=species:S:1:pos:R:3 pbc="T T T"
Cu 4.425 1.703 1.866
Cu 6.716 1.866 3.637
Cu 6.716 3.475 1.703
Cu 4.425 3.637 3.475
Cu 3.208 0.000 0.000
Li 2.035 0.212 2.012
Li 6.619 5.128 3.328
Li 4.327 3.328 0.212
Li 4.327 2.012 5.128
Ni 0.789 0.000 0.000
```

Calculated values
Its density of states at the Fermi level is 4.28 states/eV per cell. The value obtained for the density is 5.1 g/cm³. For the spin magnetization, the calculation gives 0.000 μB per atom. Its formation energy is 174 meV/atom. As for the space group: I4, No. 79.

Question: Number 4 is which compound?
Answer: Li2Cu3Ni